Density functional theory data (PBE with a Hubbard U) for an optimized crystal structure of RbThVO4.

Properties
* V: 17.00 Å³/atom
* energy: -0.278 Ha/atom
* space-group type: Imma

abc: 6.603 6.921 7.563
angles: 123.12 90.00 118.49
Each line ends with the local moment (μB).
Element x y z (fractional)
Rb 0.852 0.704 0.102  0.00
Rb 0.148 0.296 0.898  0.00
Th 0.500 0.000 0.500  0.01
Th 0.500 0.000 0.000  0.01
V 0.500 0.500 0.500  1.93
V 0.000 0.500 0.500  1.93
O 0.736 0.471 0.665  -0.01
O 0.320 0.059 0.280  -0.01
O 0.740 0.059 0.280  -0.01
O 0.736 0.471 0.306  -0.01
O 0.264 0.529 0.694  -0.01
O 0.680 0.941 0.720  -0.01
O 0.260 0.941 0.720  -0.01
O 0.264 0.529 0.335  -0.01